# CrReMoP2

A relaxed CrReMoP2 crystal (PBE, the Alexandria database).

Unit cell a=4.2783 b=4.2783 c=4.6259 alpha=90.00 beta=90.00 gamma=90.00
Space group P4/mmm (No. 123)
Unique sites:
Cr 0.0000 0.0000 0.0000 [1 per cell]
Re 0.0000 0.0000 0.5000 [1 per cell]
Mo 0.5000 0.5000 0.5000 [1 per cell]
P 0.0000 0.5000 0.0000 [2 per cell]

Fermi-level density of states = 4.3 states/eV/f.u.
Calculated formation energy = 1.197 eV/atom